Computed, not measured: LiCoSbW after structural relaxation at the PBE level of DFT.

It has space group F-43m (No. 216), with a = 6.209 Å, b = 6.209 Å, c = 6.209 Å, α = 90.00°, β = 90.00° and γ = 90.00°. The asymmetric unit holds Li at (0.000, 0.000, 0.000), Co at (0.250, 0.250, 0.750), Sb at (0.000, 0.000, 0.500) and W at (0.250, 0.250, 0.250).

The excess energy over the best structure of this formula in the dataset comes out at 110 meV/atom. The electronic total energy comes out at -0.221 hartree per atom.